[1]
DFT (PBE-GGA) results for a relaxed structure of LiMg2In.

The structure belongs to space group Cmcm (No. 63); the cell edges are 6.2203, 10.7483 and 5.0756 Å and the angles 90.00°, 90.00° and 90.00°. The asymmetric unit holds Li at (0.0000, 0.1681, 0.2500), Mg at (0.2481, 0.0855, 0.7500) and In at (0.0000, 0.3337, 0.7500).

[2]
DFT (PBE-GGA) results for a relaxed structure of Li6MgIn5.

The structure belongs to space group Cmmm (No. 65); the cell edges are 4.6141, 13.8654 and 7.2700 Å and the angles 90.00°, 90.00° and 90.00°. The asymmetric unit holds Li at (0.0000, 0.0000, 0.2458), Li at (0.0000, 0.3311, 0.2485), Mg at (0.0000, 0.5000, 0.5000), In at (0.0000, 0.1644, 0.5000), In at (0.0000, 0.1662, 0.0000) and In at (0.0000, 0.5000, 0.0000).

[3]
DFT (PBE-GGA) results for a relaxed structure of Li5Mg2In12.

The structure belongs to space group C2/m (No. 12); the cell edges are 14.4250, 8.7004 and 7.1499 Å and the angles 90.00°, 95.18° and 90.00°. The asymmetric unit holds Li at (0.0000, 0.0000, 0.0000), Li at (0.1612, 0.5000, 0.4083), Li at (0.2431, 0.0000, 0.0102), Mg at (0.0000, 0.1966, 0.5000), In at (0.0476, 0.5000, 0.7262), In at (0.1045, 0.2880, 0.0894), In at (0.1514, 0.0000, 0.3575) and In at (0.1952, 0.2291, 0.6995).

[4]
DFT (PBE-GGA) results for a relaxed structure of Li3MgIn6.

The structure belongs to space group P2_1/m (No. 11); the cell edges are 8.5476, 5.0462 and 11.1227 Å and the angles 90.00°, 111.23° and 90.00°. The asymmetric unit holds Li at (0.0971, 0.2500, 0.2249), Li at (0.3046, 0.2500, 0.0331), Li at (0.3131, 0.7500, 0.3646), Mg at (0.1110, 0.7500, 0.5708), In at (0.0697, 0.2500, 0.7231), In at (0.0975, 0.7500, 0.0696), In at (0.2827, 0.2500, 0.5142), In at (0.2871, 0.7500, 0.8674), In at (0.4900, 0.2500, 0.3341) and In at (0.4970, 0.2500, 0.8331).

[5]
DFT (PBE-GGA) results for a relaxed structure of Li2Mg4In3.

The structure belongs to space group C2/m (No. 12); the cell edges are 9.8078, 4.5503 and 9.1870 Å and the angles 90.00°, 105.22° and 90.00°. The asymmetric unit holds Li at (0.1710, 0.0000, 0.2308), Mg at (0.0051, 0.5000, 0.3316), Mg at (0.1651, 0.0000, 0.8934), In at (0.0000, 0.5000, 0.0000) and In at (0.1663, 0.0000, 0.5652).

[6]
DFT (PBE-GGA) results for a relaxed structure of Li8Mg3In2.

The structure belongs to space group P2/m (No. 10); the cell edges are 7.3119, 4.7767 and 7.7223 Å and the angles 90.00°, 107.09° and 90.00°. The asymmetric unit holds Li at (0.0122, 0.0000, 0.1645), Li at (0.0933, 0.5000, 0.3673), Li at (0.3835, 0.0000, 0.3292), Li at (0.4167, 0.5000, 0.6940), Mg at (0.2215, 0.5000, 0.0010), Mg at (0.5000, 0.0000, 0.0000) and In at (0.2045, 0.0000, 0.6062).

[7]
DFT (PBE-GGA) results for a relaxed structure of Li7MgIn2.

The structure belongs to space group Cmmm (No. 65); the cell edges are 7.0920, 14.2040 and 5.0557 Å and the angles 90.00°, 90.00° and 90.00°. The asymmetric unit holds Li at (0.0000, 0.0000, 0.0000), Li at (0.0000, 0.2855, 0.5000), Li at (0.1761, 0.3909, 0.0000), Mg at (0.0000, 0.5000, 0.5000) and In at (0.0000, 0.2099, 0.0000).

[8]
DFT (PBE-GGA) results for a relaxed structure of LiMg2In.

The structure belongs to space group P2/m (No. 10); the cell edges are 3.1991, 5.1141 and 5.4135 Å and the angles 90.00°, 92.00° and 90.00°. The asymmetric unit holds Li at (0.0000, 0.0000, 0.0000), Mg at (0.2558, 0.5000, 0.7541) and In at (0.5000, 0.0000, 0.5000).

The following total energy values (in Ha/atom) correspond, in order, to the records above: -0.0780; -0.0916; -0.0927; -0.0937; -0.0801; -0.0762; -0.0713; -0.0756.